8
Lattice="-0.5992 -2.0128 5.0589 2.4312 -4.4817 -0.8509 5.1584 -0.2964 -0.1512" Properties=species:S:1:pos:R:3 comment="MnGaF6 GGA+U optimized geometry" m_tot_mub_per_atom=0.5000 crystal_system=monoclinic final_energy_ev_per_atom=-5.0645 pbc="T T T"
F 0.4043 -2.7903 3.4675
F 1.4058 -0.7393 1.2733
F 3.4679 -1.7695 3.5927
F 1.7437 -3.9015 0.6991
F 4.3394 -2.1532 0.8172
F 2.9652 -4.8355 3.1981
Mn -0.4414 -2.1122 5.0381
Ga -0.1423 -1.1055 2.5087